1.
AlSbAs2H, optimized geometry, DFT PBE; total energy = -2.802 eV per atom; D(E_F) = 0.6450 states/eV/atom; ρ = 3.139 Mg/m³
1.0
5.339 0.000 0.000
0.000 5.559 0.000
0.000 0.000 5.339
As Al H Sb
2 1 1 1
Direct
0.500 0.000 0.000
0.000 0.000 0.500
0.000 0.500 0.000
0.500 0.500 0.500
0.000 0.000 0.000

---

2.
AlAsH2Se4, optimized geometry, DFT PBE; total energy = -3.847 eV per atom; ρ = 3.505 Mg/m³
1.0
-0.816 -5.824 1.652
0.879 -2.551 -8.558
7.157 -0.732 0.953
Se H As Al
8 4 2 2
Direct
0.937 0.330 0.733
0.437 0.670 0.233
0.421 0.219 0.000
0.916 0.912 0.000
0.416 0.088 0.500
0.921 0.781 0.500
0.937 0.330 0.267
0.437 0.670 0.767
0.907 0.665 0.646
0.907 0.665 0.354
0.407 0.335 0.146
0.407 0.335 0.854
0.992 0.144 0.500
0.492 0.856 0.000
0.984 0.175 0.000
0.484 0.825 0.500

---

3.
Sr2AlAsH, optimized geometry, DFT PBE; total energy = -3.254 eV per atom; D(E_F) = 0.2989 states/eV/atom; ρ = 3.933 Mg/m³
1.0
-2.003 -4.087 2.052
0.044 -2.131 -4.202
4.573 -1.767 0.944
Sr Al As H
2 1 1 1
Direct
0.500 0.000 0.000
0.000 0.000 0.500
0.500 0.500 0.500
0.000 0.500 0.000
0.000 0.000 0.000

---

4.
YAlAsH2, optimized geometry, DFT PBE; total energy = -4.507 eV per atom; D(E_F) = 0.2055 states/eV/atom; ρ = 3.452 Mg/m³
1.0
-2.142 -1.734 -2.898
-4.171 -1.253 3.833
-1.771 3.498 -0.784
H Y Al As
2 1 1 1
Direct
0.500 0.000 0.000
0.000 0.000 0.500
0.000 0.000 0.000
0.500 0.500 0.500
0.000 0.500 0.000

---

5.
Hf3AlAs, optimized geometry, DFT PBE; total energy = -7.871 eV per atom; D(E_F) = 0.5849 states/eV/atom; energy above the most stable polymorph in this dataset = 0.0 meV/atom; ρ = 9.635 Mg/m³
1.0
7.023 0.630 -0.586
3.989 5.815 -0.586
2.547 1.491 11.194
Hf Al As
12 4 4
Direct
0.825 0.834 0.824
0.834 0.825 0.324
0.649 0.669 0.666
0.193 0.678 0.555
0.166 0.175 0.676
0.669 0.649 0.166
0.351 0.331 0.334
0.322 0.807 0.945
0.807 0.322 0.445
0.678 0.193 0.055
0.331 0.351 0.834
0.175 0.166 0.176
0.388 0.892 0.415
0.892 0.388 0.915
0.108 0.612 0.085
0.612 0.108 0.585
0.000 0.500 0.500
0.769 0.231 0.250
0.231 0.769 0.750
0.500 0.000 0.000

---

6.
HfAl3As, optimized geometry, DFT PBE; total energy = -4.002 eV per atom; D(E_F) = 1.0262 states/eV/atom; energy above the most stable polymorph in this dataset = 461.4 meV/atom; ρ = 3.883 Mg/m³
1.0
-2.501 -1.983 4.142
-1.064 -4.338 -2.719
4.467 -2.143 1.671
Al Hf As
3 1 1
Direct
0.500 0.000 0.000
0.000 0.500 0.000
0.000 0.000 0.500
0.000 0.000 0.000
0.500 0.500 0.500

---

7.
Hf8AlAs6, optimized geometry, DFT PBE; total energy = -7.950 eV per atom; D(E_F) = 0.5697 states/eV/atom; ρ = 10.240 Mg/m³
1.0
-1.852 -2.484 2.027
-4.461 -3.284 -8.102
8.494 -3.983 2.882
Hf As Al
8 6 1
Direct
0.255 0.728 0.690
0.255 0.962 0.272
0.252 0.333 0.667
0.745 0.690 0.962
0.745 0.038 0.728
0.255 0.310 0.038
0.745 0.272 0.310
0.748 0.667 0.333
0.249 0.642 0.123
0.249 0.877 0.519
0.751 0.123 0.481
0.249 0.481 0.358
0.751 0.358 0.877
0.751 0.519 0.642
0.500 0.000 0.000

---

8.
HfAlAs2, optimized geometry, DFT PBE; total energy = -6.022 eV per atom; D(E_F) = 0.9300 states/eV/atom; ρ = 5.750 Mg/m³
1.0
6.017 0.000 0.000
0.000 6.017 0.000
3.009 3.009 5.668
Al As Hf
2 4 2
Direct
0.250 0.750 0.500
0.500 0.500 0.000
0.144 0.625 0.250
0.375 0.394 0.750
0.606 0.125 0.250
0.875 0.856 0.750
0.000 0.000 0.000
0.750 0.250 0.500